Below is a relaxed structure of LiDyHo, with properties calculated at the PBE-GGA level.

Values from the calculation:
- total energy (hartree per atom) = -0.132
- total moment (μB per formula unit) = 0.000
- ρ (g/cm3) = 6.47

a = 3.455 Å, b = 3.455 Å, c = 8.306 Å
α = 90.00°, β = 90.00°, γ = 120.00°
Positions (direct):
Ho1 0.333 0.667 0.669
Li1 0.000 0.000 0.999
Dy1 0.667 0.333 0.331